# 1
Entry from the Alexandria database: a relaxed structure of Li2NiIr (GGA-PBEsol).

Geometry as POSCAR:
```
Li2NiIr
1.0
-0.209 2.482 0.722
-2.156 1.332 -0.549
-4.174 -1.164 7.448
Ni Ir Li
1 1 2
direct
0.500 0.500 0.500
0.000 0.000 0.000
0.248 0.248 0.256
0.752 0.752 0.744
```

Summary:
crystal system: trigonal
VASP energy: -5.040 eV per atom
E_form: -0.061 eV/atom
DOS(E_F): 0.73 states/eV/atom

---

# 2
Entry from the Alexandria database: a relaxed structure of Li2NiIr (GGA-PBEsol).

Geometry as POSCAR:
```
Li2NiIr
1.0
-0.959 2.315 0.187
-4.077 -1.799 1.362
3.504 -0.176 3.275
Ni Ir Li
1 1 2
direct
0.504 0.610 0.007
0.240 0.642 0.480
0.997 0.085 0.993
0.760 0.164 0.520
```

Summary:
crystal system: monoclinic
VASP energy: -5.077 eV per atom
E_form: -0.099 eV/atom
DOS(E_F): 0.64 states/eV/atom

---

# 3
Entry from the Alexandria database: a relaxed structure of LiNi2Ir (GGA-PBEsol).

Geometry as POSCAR:
```
LiNi2Ir
1.0
-0.712 1.605 1.905
-2.218 1.326 -0.184
-5.052 -5.314 4.349
Ir Li Ni
1 1 2
direct
0.500 0.500 0.500
0.000 0.000 0.000
0.249 0.249 0.253
0.751 0.751 0.747
```

Summary:
crystal system: trigonal
VASP energy: -5.950 eV per atom
E_form: 0.077 eV/atom
DOS(E_F): 1.15 states/eV/atom

---

# 4
Entry from the Alexandria database: a relaxed structure of Li2NiIr (GGA-PBEsol).

Geometry as POSCAR:
```
Li2NiIr
1.0
-1.605 -1.260 -4.299
-4.531 -2.417 -0.234
-2.924 3.385 -2.534
Ni Ir Li
2 2 4
direct
0.250 0.500 0.500
0.500 0.000 0.000
0.750 0.500 0.500
0.000 0.000 0.000
0.142 0.983 0.483
0.608 0.017 0.517
0.375 0.483 0.017
0.875 0.517 0.983
```

Summary:
crystal system: tetragonal
VASP energy: -4.533 eV per atom
E_form: 0.445 eV/atom
DOS(E_F): 0.82 states/eV/atom

---

# 5
Entry from the Alexandria database: a relaxed structure of Li2NiIr (GGA-PBEsol).

Geometry as POSCAR:
```
Li2NiIr
1.0
2.583 0.000 0.000
0.000 4.310 0.000
0.000 0.000 4.330
Ni Ir Li
1 1 2
direct
0.500 0.500 0.000
0.000 0.500 0.500
0.000 0.000 0.000
0.500 0.000 0.500
```

Summary:
crystal system: orthorhombic
VASP energy: -5.083 eV per atom
E_form: -0.104 eV/atom
DOS(E_F): 0.75 states/eV/atom

---

# 6
Entry from the Alexandria database: a relaxed structure of Li2NiIr (GGA-PBEsol).

Geometry as POSCAR:
```
Li2NiIr
1.0
2.571 0.000 0.000
0.000 4.288 0.000
0.000 0.000 4.387
Ni Ir Li
1 1 2
direct
0.000 0.000 0.411
0.500 0.500 0.336
0.500 0.000 0.922
0.000 0.500 0.830
```

Summary:
crystal system: orthorhombic
VASP energy: -5.088 eV per atom
E_form: -0.109 eV/atom
DOS(E_F): 0.61 states/eV/atom

---

# 7
Entry from the Alexandria database: a relaxed structure of Li2NiIr (GGA-PBEsol).

Geometry as POSCAR:
```
Li2NiIr
1.0
2.522 0.000 0.000
0.000 4.446 -0.042
-1.261 -0.763 4.284
Ni Ir Li
1 1 2
direct
0.500 0.000 0.000
0.000 0.500 0.000
0.244 0.248 0.489
0.756 0.752 0.511
```

Summary:
crystal system: monoclinic
VASP energy: -5.116 eV per atom
E_form: -0.137 eV/atom
DOS(E_F): 0.42 states/eV/atom

---

# 8
Entry from the Alexandria database: a relaxed structure of LiNi2Ir (GGA-PBEsol).

Geometry as POSCAR:
```
LiNi2Ir
1.0
2.513 0.000 0.000
0.000 3.683 0.000
0.000 0.000 4.999
Ir Li Ni
1 1 2
direct
0.000 0.000 0.492
0.500 0.500 0.763
0.000 0.000 0.994
0.500 0.500 0.250
```

Summary:
crystal system: orthorhombic
VASP energy: -5.946 eV per atom
E_form: 0.080 eV/atom
DOS(E_F): 1.33 states/eV/atom

---

# 9
Entry from the Alexandria database: a relaxed structure of Li2NiIr (GGA-PBEsol).

Geometry as POSCAR:
```
Li2NiIr
1.0
2.491 0.000 0.001
0.000 4.288 0.000
-0.181 0.000 4.512
Ni Ir Li
1 1 2
direct
0.500 0.500 0.000
0.000 0.500 0.500
0.703 0.000 0.748
0.297 0.000 0.252
```

Summary:
crystal system: monoclinic
VASP energy: -5.098 eV per atom
E_form: -0.119 eV/atom
DOS(E_F): 0.51 states/eV/atom

---

# 10
Entry from the Alexandria database: a relaxed structure of Li2NiIr (GGA-PBEsol).

Geometry as POSCAR:
```
Li2NiIr
1.0
2.562 0.005 0.000
-1.188 2.270 0.000
0.000 0.000 8.531
Ni Ir Li
1 1 2
direct
0.500 0.500 0.500
0.500 0.500 0.000
0.000 0.000 0.257
0.000 0.000 0.743
```

Summary:
crystal system: orthorhombic
VASP energy: -5.020 eV per atom
E_form: -0.041 eV/atom
DOS(E_F): 0.70 states/eV/atom

---

# 11
Entry from the Alexandria database: a relaxed structure of LiNi2Ir (GGA-PBEsol).

Geometry as POSCAR:
```
LiNi2Ir
1.0
-0.614 -2.207 1.186
0.619 -2.132 -3.645
4.099 -0.583 1.037
Ni Ir Li
2 1 1
direct
0.000 0.000 0.500
0.000 0.500 0.000
0.500 0.500 0.500
0.500 0.000 0.000
```

Summary:
crystal system: tetragonal
VASP energy: -6.058 eV per atom
E_form: -0.032 eV/atom
DOS(E_F): 1.48 states/eV/atom

---

# 12
Entry from the Alexandria database: a relaxed structure of LiNi2Ir (GGA-PBEsol).

Geometry as POSCAR:
```
LiNi2Ir
1.0
-2.392 0.326 -0.791
-1.011 -4.041 1.391
-0.668 2.911 3.220
Ni Ir Li
2 1 1
direct
0.000 0.000 0.500
0.000 0.500 0.000
0.500 0.500 0.500
0.500 0.000 0.000
```

Summary:
crystal system: orthorhombic
VASP energy: -6.130 eV per atom
E_form: -0.104 eV/atom
DOS(E_F): 1.06 states/eV/atom

---

# 13
Entry from the Alexandria database: a relaxed structure of LiZrNiIr2 (GGA-PBEsol).

Geometry as POSCAR:
```
LiZrNiIr2
1.0
4.082 0.000 0.000
0.000 4.082 0.000
0.000 0.000 4.240
Ni Ir Zr Li
1 2 1 1
direct
0.500 0.500 0.500
0.000 0.500 0.000
0.500 0.000 0.000
0.000 0.000 0.500
0.000 0.000 0.000
```

Summary:
crystal system: tetragonal
VASP energy: -6.779 eV per atom
E_form: 0.593 eV/atom
DOS(E_F): 0.78 states/eV/atom

---

# 14
Entry from the Alexandria database: a relaxed structure of LiIrO2 (GGA-PBEsol).

Geometry as POSCAR:
```
LiIrO2
1.0
-3.824 -2.377 -1.508
4.369 -0.669 -2.548
-0.407 -2.050 4.264
Ir O Li
2 4 2
direct
0.250 0.500 0.750
0.000 0.000 0.000
0.392 0.250 0.375
0.858 0.250 0.875
0.125 0.750 0.608
0.625 0.750 0.142
0.750 0.500 0.250
0.500 0.000 0.500
```

Summary:
crystal system: tetragonal
VASP energy: -6.290 eV per atom
DOS(E_F): 0.21 states/eV/atom
formation energy from raw total energies: -0.718 eV per atom

---

# 15
Entry from the Alexandria database: a relaxed structure of Li2IrO3 (GGA-PBEsol).

Geometry as POSCAR:
```
Li2IrO3
1.0
-3.341 1.041 -3.641
0.131 -4.996 0.719
-4.836 2.689 7.574
Li Ir O
8 4 12
direct
0.079 0.079 0.159
0.921 0.921 0.841
0.171 0.671 0.341
0.329 0.829 0.659
0.247 0.247 0.494
0.753 0.753 0.506
0.003 0.503 0.006
0.497 0.997 0.994
0.415 0.415 0.831
0.585 0.585 0.169
0.835 0.335 0.669
0.665 0.165 0.331
0.269 0.269 0.000
0.731 0.731 0.000
0.981 0.481 0.500
0.519 0.019 0.500
0.826 0.335 0.169
0.165 0.657 0.831
0.665 0.174 0.831
0.343 0.835 0.169
0.424 0.415 0.331
0.085 0.093 0.669
0.585 0.576 0.669
0.907 0.915 0.331
```

Summary:
crystal system: orthorhombic
VASP energy: -6.312 eV per atom
DOS(E_F): 0.58 states/eV/atom
formation energy from raw total energies: -1.394 eV per atom

---

# 16
Entry from the Alexandria database: a relaxed structure of Li8IrO6 (GGA-PBEsol).

Geometry as POSCAR:
```
Li8IrO6
1.0
-3.762 -1.931 3.338
0.936 -4.510 2.794
0.968 0.549 5.756
Ir O Li
1 6 8
direct
0.000 0.000 0.000
0.615 0.237 0.239
0.763 0.091 0.761
0.385 0.763 0.761
0.909 0.615 0.239
0.237 0.909 0.239
0.091 0.385 0.761
0.341 0.341 0.976
0.234 0.515 0.351
0.899 0.234 0.351
0.515 0.899 0.351
0.766 0.485 0.649
0.101 0.766 0.649
0.659 0.659 0.024
0.485 0.101 0.649
```

Summary:
crystal system: trigonal
VASP energy: -5.471 eV per atom
DOS(E_F): 0.44 states/eV/atom
formation energy from raw total energies: -1.668 eV per atom

---

# 17
Entry from the Alexandria database: a relaxed structure of LiPr2IrO6 (GGA-PBEsol).

Geometry as POSCAR:
```
LiPr2IrO6
1.0
-1.744 -1.035 5.006
-4.347 -3.072 -2.149
4.403 -6.341 0.156
Li Pr Ir O
2 4 2 12
direct
0.000 0.000 0.000
0.500 0.500 0.500
0.483 0.931 0.251
0.017 0.431 0.249
0.983 0.569 0.751
0.517 0.069 0.749
0.500 0.500 0.000
0.000 0.000 0.500
0.187 0.712 0.452
0.313 0.212 0.048
0.813 0.288 0.548
0.687 0.788 0.952
0.088 0.978 0.747
0.412 0.478 0.753
0.203 0.693 0.045
0.297 0.193 0.455
0.797 0.307 0.955
0.703 0.807 0.545
0.588 0.522 0.247
0.912 0.022 0.253
```

Summary:
crystal system: monoclinic
VASP energy: -7.680 eV per atom
DOS(E_F): 0.47 states/eV/atom
formation energy from raw total energies: -2.315 eV per atom

---

# 18
Entry from the Alexandria database: a relaxed structure of Sr3LiIrO6 (GGA-PBEsol).

Geometry as POSCAR:
```
Sr3LiIrO6
1.0
6.652 0.002 0.002
-0.252 6.647 0.002
-0.252 -0.262 6.642
Sr Li Ir O
6 2 2 12
direct
0.110 0.750 0.390
0.750 0.390 0.110
0.610 0.890 0.250
0.250 0.610 0.890
0.890 0.250 0.610
0.390 0.110 0.750
0.750 0.750 0.750
0.250 0.250 0.250
0.500 0.500 0.500
0.000 0.000 0.000
0.953 0.086 0.282
0.547 0.218 0.414
0.414 0.547 0.218
0.218 0.414 0.547
0.282 0.953 0.086
0.086 0.282 0.953
0.718 0.047 0.914
0.914 0.718 0.047
0.782 0.586 0.453
0.586 0.453 0.782
0.453 0.782 0.586
0.047 0.914 0.718
```

Summary:
crystal system: trigonal
VASP energy: -6.608 eV per atom
DOS(E_F): 0.37 states/eV/atom
formation energy from raw total energies: -2.171 eV per atom

---

# 19
Entry from the Alexandria database: a relaxed structure of Li2IrOs (GGA-PBEsol).

Geometry as POSCAR:
```
Li2IrOs
1.0
-1.072 -1.746 -1.640
-1.411 -1.999 0.950
-8.219 3.741 -0.708
Ir Li Os
1 2 1
direct
0.000 0.000 0.000
0.252 0.252 0.245
0.748 0.748 0.755
0.500 0.500 0.500
```

Summary:
crystal system: trigonal
VASP energy: -6.474 eV per atom
E_form: 0.020 eV/atom
DOS(E_F): 0.68 states/eV/atom

---

# 20
Entry from the Alexandria database: a relaxed structure of LiIr2Os (GGA-PBEsol).

Geometry as POSCAR:
```
LiIr2Os
1.0
2.815 0.000 0.000
0.000 4.360 0.000
-1.408 -2.180 4.188
Ir Li Os
2 1 1
direct
0.730 0.730 0.461
0.270 0.270 0.539
0.000 0.500 0.000
0.500 0.000 0.000
```

Summary:
crystal system: orthorhombic
VASP energy: -8.271 eV per atom
E_form: 0.187 eV/atom
DOS(E_F): 0.79 states/eV/atom